VASP calculation (PBE) on a geometry-optimized Ag2AsPb structure.

## Properties
Energy of formation from the pure elements ... 0.193 eV/atom
Total magnetization ... 0.00 μB per formula unit

Geometry as CIF:
```
data_Ag2AsPb
_chemical_formula_sum 'Ag2 As1 Pb1'
_space_group_name_H-M_alt 'P 1'
_space_group_IT_number 1
_space_group_name_Hall 'P 1'
_cell_length_a 6.122
_cell_length_b 6.122
_cell_length_c 6.122
_cell_angle_alpha 149.69
_cell_angle_beta 130.05
_cell_angle_gamma 59.55
loop_
_atom_site_label
_atom_site_type_symbol
_atom_site_fract_x
_atom_site_fract_y
_atom_site_fract_z
As1 As 0.525 0.525 0.000
Ag1 Ag 0.977 0.977 0.000
Ag2 Ag 0.741 0.241 0.500
Pb1 Pb 0.256 0.756 0.500
```

VASP calculation (PBE) on a geometry-optimized AgAs2Pb structure.

## Properties
Energy of formation from the pure elements ... 0.142 eV/atom
Total magnetization ... 0.00 μB per formula unit

Geometry as CIF:
```
data_AgAs2Pb
_chemical_formula_sum 'Ag1 As2 Pb1'
_space_group_name_H-M_alt 'P 1'
_space_group_IT_number 1
_space_group_name_Hall 'P 1'
_cell_length_a 5.200
_cell_length_b 5.200
_cell_length_c 5.491
_cell_angle_alpha 79.31
_cell_angle_beta 79.31
_cell_angle_gamma 40.98
loop_
_atom_site_label
_atom_site_type_symbol
_atom_site_fract_x
_atom_site_fract_y
_atom_site_fract_z
Pb1 Pb 0.250 0.250 0.250
Ag1 Ag 0.750 0.750 0.750
As1 As 0.001 0.001 0.919
As2 As 0.499 0.499 0.581
```

VASP calculation (PBE) on a geometry-optimized Ag2AsPb structure.

## Properties
Energy of formation from the pure elements ... 0.199 eV/atom
Total magnetization ... 0.00 μB per formula unit

Geometry as CIF:
```
data_Ag2AsPb
_chemical_formula_sum 'Ag2 As1 Pb1'
_space_group_name_H-M_alt 'P 1'
_space_group_IT_number 1
_space_group_name_Hall 'P 1'
_cell_length_a 9.814
_cell_length_b 9.814
_cell_length_c 9.814
_cell_angle_alpha 19.02
_cell_angle_beta 19.02
_cell_angle_gamma 19.02
loop_
_atom_site_label
_atom_site_type_symbol
_atom_site_fract_x
_atom_site_fract_y
_atom_site_fract_z
Ag1 Ag 0.991 0.991 0.991
Ag2 Ag 0.249 0.249 0.249
As1 As 0.511 0.511 0.511
Pb1 Pb 0.749 0.749 0.749
```

VASP calculation (PBE) on a geometry-optimized AgAsPb2 structure.

## Properties
Energy of formation from the pure elements ... 0.131 eV/atom
Total magnetization ... 0.00 μB per formula unit

Geometry as CIF:
```
data_AgAsPb2
_chemical_formula_sum 'Ag1 As1 Pb2'
_space_group_name_H-M_alt 'P 1'
_space_group_IT_number 1
_space_group_name_Hall 'P 1'
_cell_length_a 5.793
_cell_length_b 5.793
_cell_length_c 5.573
_cell_angle_alpha 69.71
_cell_angle_beta 69.71
_cell_angle_gamma 35.85
loop_
_atom_site_label
_atom_site_type_symbol
_atom_site_fract_x
_atom_site_fract_y
_atom_site_fract_z
As1 As 0.228 0.228 0.282
Pb1 Pb 0.981 0.981 0.032
Pb2 Pb 0.768 0.768 0.703
Ag1 Ag 0.523 0.523 0.483
```

VASP calculation (PBE) on a geometry-optimized Ag2AsPb structure.

## Properties
Energy of formation from the pure elements ... 0.161 eV/atom
Total magnetization ... 0.00 μB per formula unit

Geometry as CIF:
```
data_Ag2AsPb
_chemical_formula_sum 'Ag2 As1 Pb1'
_space_group_name_H-M_alt 'P 1'
_space_group_IT_number 1
_space_group_name_Hall 'P 1'
_cell_length_a 4.497
_cell_length_b 3.232
_cell_length_c 6.339
_cell_angle_alpha 75.24
_cell_angle_beta 90.00
_cell_angle_gamma 90.00
loop_
_atom_site_label
_atom_site_type_symbol
_atom_site_fract_x
_atom_site_fract_y
_atom_site_fract_z
Ag1 Ag 0.000 0.032 0.064
Ag2 Ag 0.500 0.454 0.223
Pb1 Pb 0.500 0.686 0.740
As1 As 0.000 0.328 0.472
```

VASP calculation (PBE) on a geometry-optimized Ag2AsPb structure.

## Properties
Energy of formation from the pure elements ... 0.154 eV/atom
Total magnetization ... 0.00 μB per formula unit

Geometry as CIF:
```
data_Ag2AsPb
_chemical_formula_sum 'Ag2 As1 Pb1'
_space_group_name_H-M_alt 'P 1'
_space_group_IT_number 1
_space_group_name_Hall 'P 1'
_cell_length_a 4.721
_cell_length_b 3.260
_cell_length_c 5.818
_cell_angle_alpha 89.99
_cell_angle_beta 90.00
_cell_angle_gamma 90.00
loop_
_atom_site_label
_atom_site_type_symbol
_atom_site_fract_x
_atom_site_fract_y
_atom_site_fract_z
Ag1 Ag 0.000 0.250 0.002
Ag2 Ag 0.000 0.250 0.498
Pb1 Pb 0.500 0.750 0.750
As1 As 0.500 0.250 0.250
```

VASP calculation (PBE) on a geometry-optimized AgAsPb2 structure.

## Properties
Energy of formation from the pure elements ... 0.132 eV/atom
Total magnetization ... 0.00 μB per formula unit

Geometry as CIF:
```
data_AgAsPb2
_chemical_formula_sum 'Ag1 As1 Pb2'
_space_group_name_H-M_alt 'P 1'
_space_group_IT_number 1
_space_group_name_Hall 'P 1'
_cell_length_a 4.161
_cell_length_b 4.161
_cell_length_c 7.743
_cell_angle_alpha 74.41
_cell_angle_beta 74.41
_cell_angle_gamma 60.00
loop_
_atom_site_label
_atom_site_type_symbol
_atom_site_fract_x
_atom_site_fract_y
_atom_site_fract_z
As1 As 0.665 0.665 0.005
Pb1 Pb 0.080 0.080 0.759
Pb2 Pb 0.255 0.255 0.234
Ag1 Ag 0.499 0.499 0.503
```

VASP calculation (PBE) on a geometry-optimized Ag2AsPb structure.

## Properties
Energy of formation from the pure elements ... 0.138 eV/atom
Total magnetization ... 0.00 μB per formula unit

Geometry as CIF:
```
data_Ag2AsPb
_chemical_formula_sum 'Ag2 As1 Pb1'
_space_group_name_H-M_alt 'P 1'
_space_group_IT_number 1
_space_group_name_Hall 'P 1'
_cell_length_a 5.245
_cell_length_b 5.245
_cell_length_c 5.245
_cell_angle_alpha 128.20
_cell_angle_beta 128.43
_cell_angle_gamma 76.12
loop_
_atom_site_label
_atom_site_type_symbol
_atom_site_fract_x
_atom_site_fract_y
_atom_site_fract_z
As1 As 0.750 0.250 0.500
Ag1 Ag 0.001 0.001 0.000
Ag2 Ag 0.499 0.499 0.000
Pb1 Pb 0.250 0.750 0.500
```

VASP calculation (PBE) on a geometry-optimized AgAsPb2 structure.

## Properties
Energy of formation from the pure elements ... 0.156 eV/atom
Total magnetization ... 0.00 μB per formula unit

Geometry as CIF:
```
data_AgAsPb2
_chemical_formula_sum 'Ag1 As1 Pb2'
_space_group_name_H-M_alt 'P 1'
_space_group_IT_number 1
_space_group_name_Hall 'P 1'
_cell_length_a 5.984
_cell_length_b 5.984
_cell_length_c 5.984
_cell_angle_alpha 136.11
_cell_angle_beta 136.11
_cell_angle_gamma 63.82
loop_
_atom_site_label
_atom_site_type_symbol
_atom_site_fract_x
_atom_site_fract_y
_atom_site_fract_z
Pb1 Pb 0.000 0.000 0.000
Pb2 Pb 0.250 0.750 0.500
As1 As 0.750 0.250 0.500
Ag1 Ag 0.500 0.500 0.000
```

VASP calculation (PBE) on a geometry-optimized AgAs3Pb structure.

## Properties
Energy of formation from the pure elements ... 0.663 eV/atom
Total magnetization ... 0.00 μB per formula unit
Relative energy among the computed polymorphs ... 0.0 meV/atom

Geometry as CIF:
```
data_AgAs3Pb
_chemical_formula_sum 'Ag1 As3 Pb1'
_space_group_name_H-M_alt 'P 1'
_space_group_IT_number 1
_space_group_name_Hall 'P 1'
_cell_length_a 5.080
_cell_length_b 5.080
_cell_length_c 5.080
_cell_angle_alpha 90.00
_cell_angle_beta 90.00
_cell_angle_gamma 90.00
loop_
_atom_site_label
_atom_site_type_symbol
_atom_site_fract_x
_atom_site_fract_y
_atom_site_fract_z
As1 As 0.000 0.000 0.500
As2 As 0.000 0.500 0.000
As3 As 0.500 0.000 0.000
Ag1 Ag 0.000 0.000 0.000
Pb1 Pb 0.500 0.500 0.500
```

VASP calculation (PBE) on a geometry-optimized AgAsPb2 structure.

## Properties
Energy of formation from the pure elements ... 0.223 eV/atom
Total magnetization ... 0.00 μB per formula unit

Geometry as CIF:
```
data_AgAsPb2
_chemical_formula_sum 'Ag2 As2 Pb4'
_space_group_name_H-M_alt 'P 1'
_space_group_IT_number 1
_space_group_name_Hall 'P 1'
_cell_length_a 6.789
_cell_length_b 6.789
_cell_length_c 7.661
_cell_angle_alpha 63.70
_cell_angle_beta 63.70
_cell_angle_gamma 90.00
loop_
_atom_site_label
_atom_site_type_symbol
_atom_site_fract_x
_atom_site_fract_y
_atom_site_fract_z
As1 As 0.500 0.500 0.000
As2 As 0.250 0.750 0.500
Pb1 Pb 0.128 0.625 0.250
Pb2 Pb 0.622 0.125 0.250
Pb3 Pb 0.375 0.378 0.750
Pb4 Pb 0.875 0.872 0.750
Ag1 Ag 0.750 0.250 0.500
Ag2 Ag 0.000 0.000 0.000
```

VASP calculation (PBE) on a geometry-optimized AgAs2Pb structure.

## Properties
Energy of formation from the pure elements ... 0.157 eV/atom
Total magnetization ... 0.00 μB per formula unit

Geometry as CIF:
```
data_AgAs2Pb
_chemical_formula_sum 'Ag1 As2 Pb1'
_space_group_name_H-M_alt 'P 1'
_space_group_IT_number 1
_space_group_name_Hall 'P 1'
_cell_length_a 6.740
_cell_length_b 6.740
_cell_length_c 6.740
_cell_angle_alpha 148.98
_cell_angle_beta 142.96
_cell_angle_gamma 49.06
loop_
_atom_site_label
_atom_site_type_symbol
_atom_site_fract_x
_atom_site_fract_y
_atom_site_fract_z
As1 As 0.069 0.069 0.000
As2 As 0.226 0.726 0.500
Pb1 Pb 0.452 0.452 0.000
Ag1 Ag 0.753 0.253 0.500
```

> total magnetization of number 6 (Ag2AsPb)?

0.00 μB per formula unit

> Look up the energy of formation from the pure elements of the fourth one.

0.131 eV/atom